# 1
Entry from Alexandria via LeMat-Bulk: a relaxed Re2MoRh crystal (PBE).

The energy of formation is 0.32 eV per atom. The calculated volume comes out at 15.2 A^3/atom. The crystal system is cubic. The distance to the lowest polymorph of the same formula is 360 meV/atom. The total DFT energy (no corrections) is -41.8 eV per formula unit. The density of states at the Fermi level is 1.346 states/eV per atom. The value obtained for the density is 15.61 g/cm³.

```
4
Lattice="0.000 3.121 3.121 3.121 0.000 3.121 3.121 3.121 0.000" Properties=species:S:1:pos:R:3 pbc="T T T"
Re 1.560 1.560 1.560
Re 4.681 4.681 4.681
Mo 0.000 0.000 0.000
Rh 3.121 3.121 3.121
```

---

# 2
Entry from Alexandria via LeMat-Bulk: a relaxed Ti2BeCo crystal (PBE).

The energy of formation is 0.20 eV per atom. The calculated volume comes out at 13.7 A^3/atom. The crystal system is tetragonal. The total DFT energy (no corrections) is -25.8 eV per formula unit. The density of states at the Fermi level is 1.224 states/eV per atom. The value obtained for the density is 4.95 g/cm³.

```
8
Lattice="6.675 0.000 0.000 0.000 6.675 0.000 3.337 3.337 2.466" Properties=species:S:1:pos:R:3 pbc="T T T"
Be 3.337 3.337 0.000
Be 3.337 6.675 1.233
Co 0.000 0.000 0.000
Co 6.675 3.337 1.233
Ti 5.182 1.669 0.616
Ti 1.493 5.006 0.616
Ti 5.006 4.830 1.849
Ti 8.343 8.520 1.849
```

---

# 3
Entry from Alexandria via LeMat-Bulk: a relaxed CaAl2OsCl crystal (PBE).

The calculated volume comes out at 22.1 A^3/atom. The crystal system is tetragonal. For the uncorrected formation energy, the calculation gives 74.2 kJ/mol of atoms. The total DFT energy (no corrections) is -18.7 eV per formula unit. The density of states at the Fermi level is 0.707 states/eV per atom. The value obtained for the density is 4.80 g/cm³.

```
5
Lattice="4.981 0.000 0.000 0.000 4.457 0.000 0.000 0.000 4.981" Properties=species:S:1:pos:R:3 pbc="T T T"
Ca 2.490 2.229 2.490
Os 0.000 2.229 0.000
Al 0.000 0.000 2.490
Al 2.490 0.000 0.000
Cl 0.000 0.000 0.000
```

---

# 4
Entry from Alexandria via LeMat-Bulk: a relaxed Hf2Ni9Pd crystal (PBE).

The energy of formation is -0.31 eV per atom. The calculated volume comes out at 12.7 A^3/atom. The crystal system is tetragonal. The total DFT energy (no corrections) is -80.8 eV per formula unit. The density of states at the Fermi level is 1.153 states/eV per atom. The value obtained for the density is 10.83 g/cm³.

```
12
Lattice="3.705 0.000 0.000 0.000 3.705 0.000 0.000 0.000 11.082" Properties=species:S:1:pos:R:3 pbc="T T T"
Hf 0.000 0.000 3.650
Hf 0.000 0.000 7.432
Ni 1.852 1.852 0.000
Ni 1.852 1.852 3.687
Ni 1.852 1.852 7.395
Ni 1.852 0.000 1.819
Ni 1.852 0.000 5.541
Ni 1.852 0.000 9.263
Ni 0.000 1.852 1.819
Ni 0.000 1.852 5.541
Ni 0.000 1.852 9.263
Pd 0.000 0.000 0.000
```

---

# 5
Entry from Alexandria via LeMat-Bulk: a relaxed BeGaCuSi2 crystal (PBE).

The calculated volume comes out at 18.8 A^3/atom. The crystal system is tetragonal. For the uncorrected formation energy, the calculation gives 107.4 kJ/mol of atoms. The total DFT energy (no corrections) is -16.1 eV per formula unit. The density of states at the Fermi level is 0.542 states/eV per atom. The value obtained for the density is 3.51 g/cm³.

```
5
Lattice="-3.974 -1.524 -2.209 -0.904 -2.329 3.233 -2.465 3.634 1.928" Properties=species:S:1:pos:R:3 pbc="T T T"
Be -0.452 -1.165 1.617
Si -1.233 1.817 0.964
Si -1.987 -0.762 -1.105
Cu -3.672 -0.110 1.476
Ga 0.000 0.000 0.000
```

---

# 6
Entry from Alexandria via LeMat-Bulk: a relaxed SrCaPdPt crystal (PBE).

The energy of formation is -0.70 eV per atom. The calculated volume comes out at 23.5 A^3/atom. The crystal system is cubic. The distance to the lowest polymorph of the same formula is 30 meV/atom. The total DFT energy (no corrections) is -17.7 eV per formula unit. The density of states at the Fermi level is 0.196 states/eV per atom. The value obtained for the density is 7.59 g/cm³.

```
4
Lattice="5.101 0.000 0.000 2.550 4.417 0.000 2.550 1.472 4.165" Properties=species:S:1:pos:R:3 pbc="T T T"
Sr 5.101 2.945 2.082
Ca 0.000 0.000 0.000
Pd 7.651 4.417 3.124
Pt 2.550 1.472 1.041
```

---

# 7
Entry from Alexandria via LeMat-Bulk: a relaxed Re2Os5 crystal (PBE).

The energy of formation is 0.22 eV per atom. The calculated volume comes out at 14.7 A^3/atom. The crystal system is orthorhombic. The distance to the lowest polymorph of the same formula is 139 meV/atom. The total DFT energy (no corrections) is -79.5 eV per formula unit. The density of states at the Fermi level is 0.763 states/eV per atom. The value obtained for the density is 21.31 g/cm³.

```
7
Lattice="4.352 8.341 -0.803 -6.207 -6.084 3.691 1.864 -0.797 1.820" Properties=species:S:1:pos:R:3 pbc="T T T"
Re 2.116 5.286 0.149
Re -3.970 -3.029 2.739
Os 1.587 2.892 1.680
Os -5.437 -5.032 3.363
Os 0.005 0.730 2.354
Os 3.583 7.289 -0.475
Os -1.578 -1.432 3.027
```

---

# 8
Entry from Alexandria via LeMat-Bulk: a relaxed Sn2Bi2Pt crystal (PBE).

The energy of formation is 0.01 eV per atom. The calculated volume comes out at 27.4 A^3/atom. The crystal system is tetragonal. The distance to the lowest polymorph of the same formula is 0 meV/atom. The total DFT energy (no corrections) is -21.8 eV per formula unit. The density of states at the Fermi level is 0.668 states/eV per atom. The value obtained for the density is 10.31 g/cm³.

```
10
Lattice="6.947 0.000 0.000 0.000 6.947 0.000 0.000 0.000 5.674" Properties=species:S:1:pos:R:3 pbc="T T T"
Bi 1.217 4.690 2.837
Bi 4.690 5.730 2.837
Bi 5.730 2.257 2.837
Bi 2.257 1.217 2.837
Pt 0.000 0.000 0.000
Pt 3.474 3.474 0.000
Sn 2.437 5.911 0.000
Sn 5.911 4.510 0.000
Sn 4.510 1.036 0.000
Sn 1.036 2.437 0.000
```